# 1
{
  "formula": "Hg2SbPd2",
  "functional": "PBE",
  "state": "relaxed",
  "lattice": [[-3.532, 1.613, -0.074], [-1.175, -2.691, -2.542], [-4.362, -4.693, 4.017]],
  "species": ["Hg", "Hg", "Sb", "Pd", "Pd"],
  "frac_coords": [[0.250, 0.750, 0.500], [0.750, 0.250, 0.500], [0.000, 0.000, 0.000], [0.406, 0.406, 0.189], [0.594, 0.594, 0.811]],
  "e_above_lowest_polymorph_mev_per_atom": 130,
  "e_form_raw_mev_per_atom": 20,
  "crystal_system": "tetragonal"
}



# 2
{
  "formula": "Ac2PmRh",
  "functional": "PBE",
  "state": "relaxed",
  "lattice": [[6.766, 0.000, 0.000], [0.000, 7.598, 0.000], [0.000, 0.000, 10.475]],
  "species": ["Ac", "Ac", "Ac", "Ac", "Ac", "Ac", "Ac", "Ac", "Rh", "Rh", "Rh", "Rh", "Pm", "Pm", "Pm", "Pm"],
  "frac_coords": [[0.828, 0.325, 0.569], [0.172, 0.675, 0.069], [0.328, 0.175, 0.431], [0.828, 0.325, 0.931], [0.672, 0.825, 0.931], [0.172, 0.675, 0.431], [0.672, 0.825, 0.569], [0.328, 0.175, 0.069], [0.949, 0.627, 0.750], [0.551, 0.127, 0.750], [0.449, 0.873, 0.250], [0.051, 0.373, 0.250], [0.335, 0.459, 0.750], [0.835, 0.041, 0.250], [0.165, 0.959, 0.750], [0.665, 0.541, 0.250]],
  "e_above_lowest_polymorph_mev_per_atom": 0,
  "e_form_kj_per_mol_fu": -155.6,
  "crystal_system": "orthorhombic"
}



Listing D(E_F) for the structures above in their given order: 0.507 1.093 states/eV/atom.